[1]
Ca3Si at its PBEsol-relaxed geometry, computed with meta-GGA SCAN. Values from VASP.

Geometry as Quantum ESPRESSO input:
```
&SYSTEM
  ibrav = 0, nat = 16, ntyp = 2
/
ATOMIC_SPECIES
Si 28.09 Si.upf
Ca 40.08 Ca.upf
CELL_PARAMETERS angstrom
-5.061 -3.917 1.427
0.210 -2.892 -7.195
6.121 -6.841 2.929
ATOMIC_POSITIONS crystal
Si 0.458 0.109 0.250
Ca 0.328 0.824 0.441
Ca 0.387 0.532 0.750
Ca 0.828 0.676 0.941
Ca 0.672 0.176 0.941
Ca 0.672 0.176 0.559
Si 0.042 0.609 0.250
Ca 0.828 0.676 0.559
Si 0.542 0.891 0.750
Ca 0.172 0.324 0.059
Si 0.958 0.391 0.750
Ca 0.613 0.468 0.250
Ca 0.113 0.032 0.750
Ca 0.887 0.968 0.250
Ca 0.328 0.824 0.059
Ca 0.172 0.324 0.441
```

Values from the calculation:
formation energy (no corrections) = -1.22 eV per formula unit
relative energy among the computed polymorphs = 0.0 meV/atom

[2]
NiPRu2 at its PBEsol-relaxed geometry, computed with meta-GGA SCAN. Values from VASP.

Geometry as Quantum ESPRESSO input:
```
&SYSTEM
  ibrav = 0, nat = 4, ntyp = 3
/
ATOMIC_SPECIES
Ru 101.07 Ru.upf
Ni 58.69 Ni.upf
P 30.97 P.upf
CELL_PARAMETERS angstrom
4.123 0.000 0.000
2.061 3.571 0.000
2.061 1.190 3.366
ATOMIC_POSITIONS crystal
Ru 0.000 0.000 0.000
Ni 0.500 0.500 0.500
P 0.250 0.250 0.250
Ru 0.750 0.750 0.750
```

Values from the calculation:
energy relative to the elements = 0.274 eV/atom

[3]
Li3La at its PBEsol-relaxed geometry, computed with meta-GGA SCAN. Values from VASP.

Geometry as Quantum ESPRESSO input:
```
&SYSTEM
  ibrav = 0, nat = 4, ntyp = 2
/
ATOMIC_SPECIES
Li 6.94 Li.upf
La 138.91 La.upf
CELL_PARAMETERS angstrom
3.440 0.000 0.000
0.000 3.440 0.000
0.000 0.000 7.998
ATOMIC_POSITIONS crystal
Li 0.500 0.500 0.299
La 0.000 0.000 0.000
Li 0.500 0.500 0.701
Li 0.000 0.000 0.500
```

Values from the calculation:
energy relative to the elements = 0.062 eV/atom
relative energy among the computed polymorphs = 0.0 meV/atom

[4]
AsBrCl2 at its PBEsol-relaxed geometry, computed with meta-GGA SCAN. Values from VASP.

Geometry as Quantum ESPRESSO input:
```
&SYSTEM
  ibrav = 0, nat = 4, ntyp = 3
/
ATOMIC_SPECIES
Cl 35.45 Cl.upf
As 74.92 As.upf
Br 79.90 Br.upf
CELL_PARAMETERS angstrom
3.356 0.000 0.000
-1.678 2.792 0.000
0.000 0.000 10.308
ATOMIC_POSITIONS crystal
Cl 0.000 0.000 0.678
As 0.500 0.000 0.500
Br 0.500 0.000 0.000
Cl 0.000 0.000 0.322
```

Values from the calculation:
formation energy (no corrections) = -0.06 eV per formula unit
relative energy among the computed polymorphs = 569.6 meV/atom

[5]
NiP2RhS at its PBEsol-relaxed geometry, computed with meta-GGA SCAN. Values from VASP.

Geometry as Quantum ESPRESSO input:
```
&SYSTEM
  ibrav = 0, nat = 5, ntyp = 4
/
ATOMIC_SPECIES
P 30.97 P.upf
S 32.06 S.upf
Rh 102.91 Rh.upf
Ni 58.69 Ni.upf
CELL_PARAMETERS angstrom
4.196 0.000 0.000
0.000 4.196 0.000
0.000 0.000 4.414
ATOMIC_POSITIONS crystal
P 0.500 0.000 0.000
P 0.000 0.500 0.000
S 0.000 0.000 0.500
Rh 0.500 0.500 0.500
Ni 0.000 0.000 0.000
```

Values from the calculation:
formation energy (no corrections) = 3.77 eV per formula unit

[6]
ScC2 at its PBEsol-relaxed geometry, computed with meta-GGA SCAN. Values from VASP.

Geometry as Quantum ESPRESSO input:
```
&SYSTEM
  ibrav = 0, nat = 6, ntyp = 2
/
ATOMIC_SPECIES
Sc 44.96 Sc.upf
C 12.01 C.upf
CELL_PARAMETERS angstrom
2.743 0.000 0.000
-1.372 2.376 0.000
0.000 0.000 7.628
ATOMIC_POSITIONS crystal
Sc 0.000 0.000 0.750
C 0.667 0.333 0.987
C 0.333 0.667 0.487
C 0.667 0.333 0.513
Sc 0.000 0.000 0.250
C 0.333 0.667 0.013
```

Values from the calculation:
energy relative to the elements = 0.445 eV/atom

[7]
ScTl7 at its PBEsol-relaxed geometry, computed with meta-GGA SCAN. Values from VASP.

Geometry as Quantum ESPRESSO input:
```
&SYSTEM
  ibrav = 0, nat = 8, ntyp = 2
/
ATOMIC_SPECIES
Tl 204.38 Tl.upf
Sc 44.96 Sc.upf
CELL_PARAMETERS angstrom
6.650 0.000 0.000
3.325 5.759 0.000
3.325 1.920 5.429
ATOMIC_POSITIONS crystal
Tl 0.000 0.000 0.500
Tl 0.500 0.500 0.000
Tl 0.000 0.500 0.500
Tl 0.000 0.500 0.000
Tl 0.500 0.000 0.000
Sc 0.000 0.000 0.000
Tl 0.500 0.500 0.500
Tl 0.500 0.000 0.500
```

Values from the calculation:
energy relative to the elements = -0.051 eV/atom

[8]
Mg3Hg at its PBEsol-relaxed geometry, computed with meta-GGA SCAN. Values from VASP.

Geometry as Quantum ESPRESSO input:
```
&SYSTEM
  ibrav = 0, nat = 4, ntyp = 2
/
ATOMIC_SPECIES
Mg 24.30 Mg.upf
Hg 200.59 Hg.upf
CELL_PARAMETERS angstrom
-2.018 -0.551 -2.487
2.547 -0.437 -1.971
-0.001 -7.985 1.769
ATOMIC_POSITIONS crystal
Mg 0.500 0.500 0.230
Mg 0.000 0.000 0.500
Hg 0.000 0.000 0.000
Mg 0.500 0.500 0.770
```

Values from the calculation:
energy relative to the elements = -0.170 eV/atom

[9]
ReP at its PBEsol-relaxed geometry, computed with meta-GGA SCAN. Values from VASP.

Geometry as Quantum ESPRESSO input:
```
&SYSTEM
  ibrav = 0, nat = 8, ntyp = 2
/
ATOMIC_SPECIES
Re 186.21 Re.upf
P 30.97 P.upf
CELL_PARAMETERS angstrom
-0.361 -0.715 2.923
-5.079 -2.516 -1.242
2.883 -5.352 -0.953
ATOMIC_POSITIONS crystal
Re 0.250 0.976 0.303
P 0.750 0.686 0.441
P 0.750 0.186 0.059
P 0.250 0.314 0.559
Re 0.250 0.476 0.197
P 0.250 0.814 0.941
Re 0.750 0.024 0.697
Re 0.750 0.524 0.803
```

Values from the calculation:
energy relative to the elements = -0.285 eV/atom
relative energy among the computed polymorphs = 0.0 meV/atom

[10]
Rb3CaF6 at its PBEsol-relaxed geometry, computed with meta-GGA SCAN. Values from VASP.

Geometry as Quantum ESPRESSO input:
```
&SYSTEM
  ibrav = 0, nat = 10, ntyp = 3
/
ATOMIC_SPECIES
F 19.00 F.upf
Rb 85.47 Rb.upf
Ca 40.08 Ca.upf
CELL_PARAMETERS angstrom
-0.836 4.817 2.682
-2.013 -5.285 3.357
6.489 -1.777 -0.291
ATOMIC_POSITIONS crystal
F 0.496 0.105 0.123
F 0.061 0.287 0.840
F 0.237 0.273 0.331
F 0.939 0.713 0.160
Rb 0.455 0.686 0.222
Rb 0.545 0.314 0.778
F 0.763 0.727 0.669
F 0.504 0.895 0.877
Ca 0.000 0.000 0.000
Rb 0.000 0.500 0.500
```

Values from the calculation:
formation energy (no corrections) = -29.43 eV per formula unit

[11]
Na2ZnPd2 at its PBEsol-relaxed geometry, computed with meta-GGA SCAN. Values from VASP.

Geometry as Quantum ESPRESSO input:
```
&SYSTEM
  ibrav = 0, nat = 10, ntyp = 3
/
ATOMIC_SPECIES
Na 22.99 Na.upf
Pd 106.42 Pd.upf
Zn 65.41 Zn.upf
CELL_PARAMETERS angstrom
-2.438 -1.743 -3.516
0.635 -5.849 2.460
-5.379 0.815 3.326
ATOMIC_POSITIONS crystal
Na 0.500 0.169 0.669
Pd 0.000 0.357 0.857
Zn 0.000 0.500 0.500
Na 0.500 0.831 0.331
Na 0.500 0.669 0.831
Pd 0.000 0.143 0.357
Pd 0.000 0.643 0.143
Na 0.500 0.331 0.169
Pd 0.000 0.857 0.643
Zn 0.000 0.000 0.000
```

Values from the calculation:
energy relative to the elements = -0.236 eV/atom
relative energy among the computed polymorphs = 0.0 meV/atom

[12]
Mg2Be2Ir at its PBEsol-relaxed geometry, computed with meta-GGA SCAN. Values from VASP.

Geometry as Quantum ESPRESSO input:
```
&SYSTEM
  ibrav = 0, nat = 10, ntyp = 3
/
ATOMIC_SPECIES
Mg 24.30 Mg.upf
Be 9.01 Be.upf
Ir 192.22 Ir.upf
CELL_PARAMETERS angstrom
-3.594 -1.820 0.734
2.627 -5.218 -0.074
0.968 0.406 5.748
ATOMIC_POSITIONS crystal
Mg 0.500 0.182 0.682
Mg 0.500 0.318 0.182
Be 0.000 0.361 0.861
Mg 0.500 0.818 0.318
Ir 0.000 0.500 0.500
Ir 0.000 0.000 0.000
Mg 0.500 0.682 0.818
Be 0.000 0.639 0.139
Be 0.000 0.139 0.361
Be 0.000 0.861 0.639
```

Values from the calculation:
energy relative to the elements = -0.151 eV/atom

[13]
K5Br at its PBEsol-relaxed geometry, computed with meta-GGA SCAN. Values from VASP.

Geometry as Quantum ESPRESSO input:
```
&SYSTEM
  ibrav = 0, nat = 6, ntyp = 2
/
ATOMIC_SPECIES
K 39.10 K.upf
Br 79.90 Br.upf
CELL_PARAMETERS angstrom
4.538 0.000 0.000
0.000 7.731 -0.061
-2.269 -2.789 10.362
ATOMIC_POSITIONS crystal
K 0.346 0.602 0.693
K 0.950 0.212 0.899
K 0.547 0.812 0.093
K 0.654 0.418 0.308
Br 0.097 0.116 0.194
K 0.240 0.005 0.479
```

Values from the calculation:
formation energy (no corrections) = -3.49 eV per formula unit

[14]
NiIr2Rh at its PBEsol-relaxed geometry, computed with meta-GGA SCAN. Values from VASP.

Geometry as Quantum ESPRESSO input:
```
&SYSTEM
  ibrav = 0, nat = 4, ntyp = 3
/
ATOMIC_SPECIES
Rh 102.91 Rh.upf
Ir 192.22 Ir.upf
Ni 58.69 Ni.upf
CELL_PARAMETERS angstrom
-2.549 0.619 -0.551
-0.839 -0.236 3.616
1.111 5.101 0.591
ATOMIC_POSITIONS crystal
Rh 0.000 0.500 0.744
Ir 0.000 0.500 0.255
Ir 0.500 0.000 0.002
Ni 0.500 0.000 0.499
```

Values from the calculation:
energy relative to the elements = -0.008 eV/atom

[15]
ZrSiAs2 at its PBEsol-relaxed geometry, computed with meta-GGA SCAN. Values from VASP.

Geometry as Quantum ESPRESSO input:
```
&SYSTEM
  ibrav = 0, nat = 4, ntyp = 3
/
ATOMIC_SPECIES
Zr 91.22 Zr.upf
As 74.92 As.upf
Si 28.09 Si.upf
CELL_PARAMETERS angstrom
-2.807 0.609 0.821
-2.286 -0.971 -1.660
-1.968 -8.413 4.946
ATOMIC_POSITIONS crystal
Zr 0.244 0.244 0.268
As 0.990 0.990 0.031
Si 0.501 0.501 0.496
As 0.765 0.765 0.705
```

Values from the calculation:
formation energy (no corrections) = 0.17 eV per formula unit
relative energy among the computed polymorphs = 742.4 meV/atom

[16]
YScTe2N at its PBEsol-relaxed geometry, computed with meta-GGA SCAN. Values from VASP.

Geometry as Quantum ESPRESSO input:
```
&SYSTEM
  ibrav = 0, nat = 5, ntyp = 4
/
ATOMIC_SPECIES
N 14.01 N.upf
Te 127.60 Te.upf
Sc 44.96 Sc.upf
Y 88.91 Y.upf
CELL_PARAMETERS angstrom
-2.344 -1.955 -2.697
-2.429 -3.007 4.289
-4.050 4.076 0.565
ATOMIC_POSITIONS crystal
N 0.500 0.000 0.000
Te 0.000 0.500 0.000
Sc 0.500 0.500 0.500
Y 0.000 0.000 0.000
Te 0.000 0.000 0.500
```

Values from the calculation:
formation energy (no corrections) = -0.98 eV per formula unit

[17]
La2Si5Rh3 at its PBEsol-relaxed geometry, computed with meta-GGA SCAN. Values from VASP.

Geometry as Quantum ESPRESSO input:
```
&SYSTEM
  ibrav = 0, nat = 20, ntyp = 3
/
ATOMIC_SPECIES
Rh 102.91 Rh.upf
Si 28.09 Si.upf
La 138.91 La.upf
CELL_PARAMETERS angstrom
-5.022 2.924 0.057
-6.141 -4.823 2.661
-1.762 2.601 7.627
ATOMIC_POSITIONS crystal
Rh 0.250 0.500 0.500
Si 0.606 0.546 0.242
La 0.131 0.636 0.102
Si 0.250 0.000 0.000
Si 0.394 0.454 0.758
Si 0.750 0.000 0.000
Rh 0.861 0.030 0.248
Rh 0.639 0.752 0.970
Rh 0.750 0.500 0.500
Si 0.026 0.724 0.724
Rh 0.139 0.970 0.752
Si 0.974 0.276 0.276
Si 0.894 0.758 0.454
La 0.631 0.102 0.636
Rh 0.361 0.248 0.030
La 0.869 0.364 0.898
Si 0.474 0.276 0.276
Si 0.106 0.242 0.546
Si 0.526 0.724 0.724
La 0.369 0.898 0.364
```

Values from the calculation:
formation energy (no corrections) = -10.38 eV per formula unit

[18]
AlIr3 at its PBEsol-relaxed geometry, computed with meta-GGA SCAN. Values from VASP.

Geometry as Quantum ESPRESSO input:
```
&SYSTEM
  ibrav = 0, nat = 8, ntyp = 2
/
ATOMIC_SPECIES
Ir 192.22 Ir.upf
Al 26.98 Al.upf
CELL_PARAMETERS angstrom
4.882 0.000 0.000
0.000 4.882 0.000
0.000 0.000 4.882
ATOMIC_POSITIONS crystal
Ir 0.000 0.750 0.500
Ir 0.750 0.500 0.000
Ir 0.250 0.500 0.000
Al 0.500 0.500 0.500
Ir 0.500 0.000 0.750
Al 0.000 0.000 0.000
Ir 0.000 0.250 0.500
Ir 0.500 0.000 0.250
```

Values from the calculation:
energy relative to the elements = 0.146 eV/atom

[19]
KZr2Te at its PBEsol-relaxed geometry, computed with meta-GGA SCAN. Values from VASP.

Geometry as Quantum ESPRESSO input:
```
&SYSTEM
  ibrav = 0, nat = 4, ntyp = 3
/
ATOMIC_SPECIES
Te 127.60 Te.upf
Zr 91.22 Zr.upf
K 39.10 K.upf
CELL_PARAMETERS angstrom
3.438 0.000 0.000
0.000 3.438 0.000
0.000 0.000 9.995
ATOMIC_POSITIONS crystal
Te 0.500 0.500 0.500
Zr 0.000 0.000 0.337
Zr 0.000 0.000 0.663
K 0.500 0.500 0.000
```

Values from the calculation:
formation energy (no corrections) = 0.37 eV per formula unit

[20]
CrRuRh2 at its PBEsol-relaxed geometry, computed with meta-GGA SCAN. Values from VASP.

Geometry as Quantum ESPRESSO input:
```
&SYSTEM
  ibrav = 0, nat = 4, ntyp = 3
/
ATOMIC_SPECIES
Ru 101.07 Ru.upf
Cr 52.00 Cr.upf
Rh 102.91 Rh.upf
CELL_PARAMETERS angstrom
2.634 0.000 0.000
0.000 3.734 0.000
0.000 0.000 5.256
ATOMIC_POSITIONS crystal
Ru 0.500 0.500 0.000
Cr 0.500 0.500 0.500
Rh 0.000 0.000 0.746
Rh 0.000 0.000 0.254
```

Values from the calculation:
energy relative to the elements = -0.037 eV/atom

[21]
La2Ag3 at its PBEsol-relaxed geometry, computed with meta-GGA SCAN. Values from VASP.

Geometry as Quantum ESPRESSO input:
```
&SYSTEM
  ibrav = 0, nat = 5, ntyp = 2
/
ATOMIC_SPECIES
La 138.91 La.upf
Ag 107.87 Ag.upf
CELL_PARAMETERS angstrom
4.910 0.000 0.000
2.455 4.252 0.000
2.455 1.417 5.838
ATOMIC_POSITIONS crystal
La 0.910 0.910 0.270
La 0.090 0.090 0.730
Ag 0.331 0.331 0.007
Ag 0.669 0.669 0.993
Ag 0.500 0.500 0.500
```

Values from the calculation:
energy relative to the elements = -0.243 eV/atom
relative energy among the computed polymorphs = 40.4 meV/atom

[22]
CaAl2Zn at its PBEsol-relaxed geometry, computed with meta-GGA SCAN. Values from VASP.

Geometry as Quantum ESPRESSO input:
```
&SYSTEM
  ibrav = 0, nat = 4, ntyp = 3
/
ATOMIC_SPECIES
Al 26.98 Al.upf
Zn 65.41 Zn.upf
Ca 40.08 Ca.upf
CELL_PARAMETERS angstrom
-0.255 0.983 -3.072
-2.205 -1.342 -1.950
-6.886 6.185 0.846
ATOMIC_POSITIONS crystal
Al 0.262 0.262 0.215
Al 0.738 0.738 0.785
Zn 0.000 0.000 0.000
Ca 0.500 0.500 0.500
```

Values from the calculation:
energy relative to the elements = 0.164 eV/atom

[23]
SmYCo10 at its PBEsol-relaxed geometry, computed with meta-GGA SCAN. Values from VASP.

Geometry as Quantum ESPRESSO input:
```
&SYSTEM
  ibrav = 0, nat = 12, ntyp = 3
/
ATOMIC_SPECIES
Co 58.93 Co.upf
Y 88.91 Y.upf
Sm 150.36 Sm.upf
CELL_PARAMETERS angstrom
-2.857 1.165 2.371
-0.341 -4.495 1.798
5.673 1.925 5.889
ATOMIC_POSITIONS crystal
Co 0.000 0.500 0.335
Co 0.500 0.500 0.500
Co 0.000 0.500 0.665
Y 0.000 0.000 0.500
Co 0.000 0.000 0.832
Sm 0.000 0.500 0.000
Co 0.500 0.752 0.253
Co 0.000 0.000 0.168
Co 0.500 0.248 0.253
Co 0.500 0.248 0.747
Co 0.500 0.752 0.747
Co 0.500 0.000 0.000
```

Values from the calculation:
energy relative to the elements = -0.048 eV/atom

[24]
ScTl at its PBEsol-relaxed geometry, computed with meta-GGA SCAN. Values from VASP.

Geometry as Quantum ESPRESSO input:
```
&SYSTEM
  ibrav = 0, nat = 4, ntyp = 2
/
ATOMIC_SPECIES
Sc 44.96 Sc.upf
Tl 204.38 Tl.upf
CELL_PARAMETERS angstrom
3.673 0.000 0.000
0.000 4.718 0.000
-1.836 -2.359 5.259
ATOMIC_POSITIONS crystal
Sc 0.124 0.374 0.249
Tl 0.630 0.880 0.259
Sc 0.876 0.626 0.751
Tl 0.370 0.120 0.741
```

Values from the calculation:
energy relative to the elements = -0.406 eV/atom